The following is a GGA-PBE calculation of crystalline SnBiRhPb2 at its relaxed geometry, from the Alexandria database.

Lattice parameters (Å, degrees): 5.3390 5.3390 5.1631 90.00 90.00 90.00
Positions (direct):
1 Pb 0.0000 0.5000 0.0000
2 Rh 0.0000 0.0000 0.0000
3 Pb 0.5000 0.0000 0.0000
4 Sn 0.0000 0.0000 0.5000
5 Bi 0.5000 0.5000 0.5000

Computed properties:
- density (g/cm³) = 9.53
- D(E_F) (states/eV/cell) = 2.9
- formation energy (meV/atom) = 11
- magnetic moment (μB per formula unit) = 0.00
- symmetry = No. 123